# 1
A crystal of Y2SiIr relaxed with PBEsol. Source: Alexandria, functional meta-GGA SCAN.

Lattice parameters (Å, degrees): 3.299 3.708 6.548 90.00 90.00 90.00
Sites, in units of the cell vectors:
Ir 0.500 0.500 0.000
Si 0.500 0.500 0.500
Y 0.000 0.000 0.755
Y 0.000 0.000 0.245

Computed properties:
space group	No. 47

=====

# 2
A crystal of YSi3Ir relaxed with PBEsol. Source: Alexandria, functional meta-GGA SCAN.

Lattice parameters (Å, degrees): 4.666 4.666 4.666 90.00 90.00 90.00
Site moments in Bohr magnetons follow the coordinates.
Sites, in units of the cell vectors:
Y 0.500 0.500 0.500  -0.02
Si 0.000 0.500 0.000  0.04
Si 0.000 0.000 0.500  0.04
Si 0.500 0.000 0.000  0.04
Ir 0.000 0.000 0.000  0.18

Computed properties:
space group	No. 221

=====

# 3
A crystal of Y2SiIr relaxed with PBEsol. Source: Alexandria, functional meta-GGA SCAN.

Lattice parameters (Å, degrees): 3.942 4.116 5.621 111.48 90.00 90.00
Sites, in units of the cell vectors:
Y 0.000 0.108 0.215
Y 0.500 0.391 0.782
Si 0.500 0.683 0.367
Ir 0.000 0.825 0.651

Computed properties:
space group	No. 38

=====

# 4
A crystal of Y2SiIr relaxed with PBEsol. Source: Alexandria, functional meta-GGA SCAN.

Lattice parameters (Å, degrees): 3.688 4.651 4.651 90.00 90.00 90.00
Sites, in units of the cell vectors:
Ir 0.500 0.500 0.500
Si 0.500 0.000 0.000
Y 0.000 0.000 0.500
Y 0.000 0.500 0.000

Computed properties:
space group	No. 123

=====

| no. | total moment (μB/cell) | raw total energy (eV for the cell shown) | formation energy without anion corrections (eV/f.u.) |
| --- | --- | --- | --- |
| 1 | 0.0 | -139.79 | -2.99 |
| 2 | 0.5 | -128.07 | 0.92 |
| 3 | 0.0 | -140.79 | -3.99 |
| 4 | 0.0 | -139.80 | -3.00 |